[1]
Material: LaTbNd2Tl4
Method: DFT, GGA-PBE
State: optimized geometry

abc: 5.5166 5.5166 27.1151
angles: 90.00 90.00 120.00
Space group R-3m (No. 166, hexagonal axes)
Unique sites:
La (0.0000, 0.0000, 0.0000) [3 per cell]
Tb (0.0000, 0.0000, 0.5000) [3 per cell]
Nd (0.0000, 0.0000, 0.2493) [6 per cell]
Tl (0.0000, 0.0000, 0.1269) [6 per cell]
Tl (0.0000, 0.0000, 0.3771) [6 per cell]

Results
The calculation puts the formation enthalpy at 0 K at -0.380 eV per atom. Its density of states at the Fermi level is 22.97 states/eV per cell.

***

[2]
Material: LaTbNd2Tl2
Method: DFT, GGA-PBE
State: optimized geometry

abc: 5.269 10.339 6.946
angles: 90.00 90.00 90.00
Space group Pmc2_1 (No. 26)
Unique sites:
La (0.000, 0.045, 0.000) [2 per cell]
Tb (0.500, 0.191, 0.725) [2 per cell]
Nd (0.000, 0.318, 0.375) [2 per cell]
Nd (0.500, 0.454, 0.101) [2 per cell]
Tl (0.000, 0.361, 0.842) [2 per cell]
Tl (0.500, 0.131, 0.266) [2 per cell]

Results
The calculation puts the formation enthalpy at 0 K at -0.273 eV per atom. Its density of states at the Fermi level is 14.90 states/eV per cell.

***

[3]
Material: LaTb2Nd5Tm
Method: DFT, GGA-PBE
State: optimized geometry

abc: 9.442 9.442 14.243
angles: 90.00 90.00 90.00
Space group I4/mcm (No. 140)
Unique sites:
La (0.000, 0.000, 0.250) [4 per cell]
Tb (0.109, 0.391, 0.000) [8 per cell]
Nd (0.000, 0.000, 0.000) [4 per cell]
Nd (0.203, 0.297, 0.369) [16 per cell]
Tm (0.000, 0.500, 0.250) [4 per cell]

Results
The calculation puts the formation enthalpy at 0 K at 0.285 eV per atom. Its density of states at the Fermi level is 55.97 states/eV per cell.

***

[4]
Material: La2TbNdTm
Method: DFT, GGA-PBE
State: optimized geometry

abc: 6.886 9.493 11.132
angles: 90.00 90.00 90.00
Space group Cmcm (No. 63)
Unique sites:
La (0.248, 0.000, 0.000) [8 per cell]
Tb (0.000, 0.095, 0.250) [4 per cell]
Nd (0.000, 0.405, 0.250) [4 per cell]
Tm (0.000, 0.247, 0.750) [4 per cell]

Results
The calculation puts the formation enthalpy at 0 K at 0.328 eV per atom. Its density of states at the Fermi level is 29.34 states/eV per cell.

***

> Number 1 is which compound?

LaTbNd2Tl4

***

> formation enthalpy at 0 K of number 2 (LaTbNd2Tl2)?

-0.273 eV per atom

***

> The lowest formation enthalpy at 0 K belongs to which entry?

LaTbNd2Tl4